ScTa2Cl | PBE-GGA | optimized geometry

The structure in extended XYZ format:
```
4
Lattice="-5.667 -0.578 -1.947 -1.832 -0.806 -5.678 3.909 -1.961 4.137" Properties=species:S:1:pos:R:3 pbc="T T T"
Ta -3.750 -0.692 -3.812
Sc -2.754 -1.616 -0.811
Ta 0.000 0.000 0.000
Cl -0.837 -1.729 -2.676
```

Output
- spin magnetization (μB/f.u.) = 0.000
- V (Å³ per cell) = 77.3
- uncorrected formation energy (eV per formula unit) = 1.42
- energy above the lowest structure with this stoichiometry (meV per atom) = 552.1
- symmetry = I4/mmm


Tb3Er5Tm2 | PBE-GGA | optimized geometry

The structure in extended XYZ format:
```
20
Lattice="-2.300 -5.466 -1.774 8.601 -6.292 -2.560 -3.371 -5.049 9.126" Properties=species:S:1:pos:R:3 pbc="T T T"
Er -0.813 -11.522 4.157
Tb -1.587 -4.423 4.887
Er 4.079 -9.177 1.392
Tb 4.518 -12.384 -0.096
Er 2.040 -7.037 2.839
Tb -0.340 -9.027 6.655
Er -0.988 -8.305 -0.128
Tm 6.329 -9.416 -0.790
Er 0.890 -9.770 1.952
Er 2.768 -11.236 4.032
Er -1.148 -7.630 3.399
Er 3.743 -5.285 0.634
Er 3.918 -8.502 4.919
Tm -3.399 -7.391 5.581
Tb 3.271 -7.781 -1.864
Tb -0.575 -1.367 -0.444
Tm -3.050 -11.294 6.355
Tb -1.725 -4.100 -1.331
Tm 5.980 -5.513 -1.564
Er 0.162 -5.572 0.759
```

Output
- spin magnetization (μB/f.u.) = 0.000
- V (Å³ per cell) = 658.3
- energy above the lowest structure with this stoichiometry (meV per atom) = 153.8
- symmetry = Ibam
- formation energy from the elements (eV/atom) = 0.357


Mn2CoBr | PBE-GGA | optimized geometry

The structure in extended XYZ format:
```
4
Lattice="3.247 0.000 0.000 0.000 4.475 0.000 0.000 0.000 4.155" Properties=species:S:1:pos:R:3 pbc="T T T"
Br 1.623 0.000 2.077
Mn 0.000 0.000 0.000
Mn 1.623 2.237 0.000
Co 0.000 2.237 2.077
```

Output
- spin magnetization (μB/f.u.) = 8.996
- V (Å³ per cell) = 60.4
- uncorrected formation energy (eV per formula unit) = 2.76
- energy above the lowest structure with this stoichiometry (meV per atom) = 464.9
- symmetry = Pmmm


LiGa5Ni3 | PBE-GGA | optimized geometry

The structure in extended XYZ format:
```
18
Lattice="6.006 -0.951 1.132 0.730 6.037 1.132 3.226 2.436 9.006" Properties=species:S:1:pos:R:3 pbc="T T T"
Ga 6.951 2.316 4.486
Ga 4.621 0.884 1.132
Ga 5.133 3.876 9.039
Ga 3.011 5.206 6.783
Li 7.507 5.669 4.482
Ni 7.115 5.372 8.991
Ni 2.847 2.150 2.278
Li 2.455 1.854 6.787
Ga 4.829 3.646 2.230
Ni 5.506 4.157 4.490
Ni 0.000 0.000 0.000
Ga 2.115 4.202 1.132
Ga 5.831 1.471 6.783
Ni 4.456 3.365 6.779
Ni 1.613 1.218 4.503
Ga 4.131 6.051 4.486
Ga 6.368 4.809 6.657
Ga 3.594 2.713 4.612
```

Output
- spin magnetization (μB/f.u.) = 0.000
- V (Å³ per cell) = 292.7
- symmetry = C2/m
- formation energy from the elements (eV/atom) = -0.206


PrTlTeO6 | PBE-GGA | optimized geometry

The structure in extended XYZ format:
```
18
Lattice="5.572 0.000 0.000 -2.786 4.826 0.000 0.000 0.000 10.084" Properties=species:S:1:pos:R:3 pbc="T T T"
O 4.393 1.619 1.395
O 3.581 0.212 3.647
O 1.974 2.995 1.395
O 1.992 0.212 1.395
Tl 2.786 1.609 7.563
Pr 0.000 0.000 0.000
O 1.180 1.619 3.647
O 0.795 4.614 8.688
Te 2.786 1.609 2.521
O 0.812 1.831 8.688
Te 0.000 3.217 7.563
O -1.607 3.207 8.688
O -0.795 4.614 6.437
O -0.812 1.831 6.437
Pr 0.000 0.000 5.042
O 3.598 2.995 3.647
O 1.607 3.207 6.437
Tl 0.000 3.217 2.521
```

Output
- spin magnetization (μB/f.u.) = 0.000
- V (Å³ per cell) = 271.2
- uncorrected formation energy (eV per formula unit) = -14.58
- symmetry = P-31c


DySiTc | PBE-GGA | optimized geometry

The structure in extended XYZ format:
```
6
Lattice="-3.002 -1.365 -2.810 3.105 -1.737 -2.473 -0.510 -5.473 3.203" Properties=species:S:1:pos:R:3 pbc="T T T"
Si -0.336 -6.766 -1.363
Dy -0.083 -4.046 -2.955
Si -0.070 -1.808 -0.716
Dy -0.324 -4.528 0.876
Tc -1.475 -1.458 -2.726
Tc 1.578 -1.644 -2.557
```

Output
- spin magnetization (μB/f.u.) = 0.000
- V (Å³ per cell) = 119.4
- uncorrected formation energy (eV per formula unit) = -1.78
- energy above the lowest structure with this stoichiometry (meV per atom) = 0.0
- symmetry = P4/nmm


AlMo3 | PBE-GGA | optimized geometry

The structure in extended XYZ format:
```
4
Lattice="4.421 0.000 0.000 0.000 2.719 -0.002 0.000 1.071 5.193" Properties=species:S:1:pos:R:3 pbc="T T T"
Mo 2.211 2.758 3.919
Mo 0.000 1.895 2.596
Al 0.000 0.000 0.000
Mo 2.211 1.033 1.272
```

Output
- spin magnetization (μB/f.u.) = 0.000
- V (Å³ per cell) = 62.4
- energy above the lowest structure with this stoichiometry (meV per atom) = 183.6
- symmetry = P2/m
- formation energy from the elements (eV/atom) = -0.069


YGe3Ir | PBE-GGA | optimized geometry

The structure in extended XYZ format:
```
10
Lattice="5.827 0.000 0.000 0.000 5.633 -0.001 0.000 0.001 6.055" Properties=species:S:1:pos:R:3 pbc="T T T"
Ir 3.850 3.141 1.215
Ge 2.738 4.836 5.839
Ge 5.652 2.785 5.673
Y 2.468 1.804 4.243
Y 5.381 0.184 1.215
Ir 0.936 4.480 4.242
Ge 2.065 1.548 1.216
Ge 2.739 4.836 2.646
Ge 5.652 2.784 2.812
Ge 4.979 0.441 4.243
```

Output
- spin magnetization (μB/f.u.) = 0.000
- V (Å³ per cell) = 198.7
- symmetry = Pmn2_1
- formation energy from the elements (eV/atom) = -0.556